Record 1
DFT (PBE) results for a relaxed MgSiSe crystal. Values from VASP.

Structure (Quantum ESPRESSO input):
```
&SYSTEM
  ibrav = 0, nat = 6, ntyp = 3
/
ATOMIC_SPECIES
Mg 24.30 Mg.upf
Si 28.09 Si.upf
Se 78.96 Se.upf
ATOMIC_POSITIONS crystal
Mg 0.000 0.000 0.000
Mg 0.438 0.438 0.438
Si 0.215 0.215 0.215
Si 0.524 0.524 0.524
Se 0.293 0.293 0.293
Se 0.727 0.727 0.727
CELL_PARAMETERS angstrom
1.978 1.142 10.144
-1.978 1.142 10.144
0.000 -2.284 10.144
```

Results
The calculation puts the total magnetization at 0.0 μB per formula unit. As for the formation energy (no corrections): -1.96 eV/f.u. For the energy above the most stable polymorph in this dataset, the calculation gives 0.00 eV per formula unit. As for the space group: R3m.



Record 2
DFT (PBE) results for a relaxed Re2PdO8 crystal. Values from VASP.

Structure (Quantum ESPRESSO input):
```
&SYSTEM
  ibrav = 0, nat = 11, ntyp = 3
/
ATOMIC_SPECIES
Re 186.21 Re.upf
Pd 106.42 Pd.upf
O 16.00 O.upf
ATOMIC_POSITIONS crystal
Re 0.216 0.216 0.202
Re 0.784 0.784 0.798
Pd 0.000 0.000 0.500
O 0.046 0.701 0.667
O 0.184 0.184 0.916
O 0.299 0.954 0.333
O 0.401 0.401 0.255
O 0.599 0.599 0.745
O 0.701 0.046 0.667
O 0.816 0.816 0.084
O 0.954 0.299 0.333
CELL_PARAMETERS angstrom
4.594 -4.055 0.000
4.594 4.055 0.000
-0.155 0.000 5.998
```

Results
The calculation puts the total magnetization at 0.0 μB per formula unit. As for the formation energy (no corrections): -13.24 eV/f.u. As for the space group: C2/m.



Record 3
DFT (PBE) results for a relaxed SrLaCuGe crystal. Values from VASP.

Structure (Quantum ESPRESSO input):
```
&SYSTEM
  ibrav = 0, nat = 4, ntyp = 4
/
ATOMIC_SPECIES
Sr 87.62 Sr.upf
La 138.91 La.upf
Cu 63.55 Cu.upf
Ge 72.64 Ge.upf
ATOMIC_POSITIONS crystal
Sr 0.000 0.000 0.000
La 0.500 0.500 0.500
Cu 0.250 0.250 0.250
Ge 0.750 0.750 0.750
CELL_PARAMETERS angstrom
0.000 3.755 3.755
3.755 0.000 3.755
3.755 3.755 0.000
```

Results
The calculation puts the total magnetization at 0.0 μB per formula unit. The calculation puts the formation energy at -0.393 eV/atom. As for the space group: F-43m.



Record 4
DFT (PBE) results for a relaxed LaSb4Pd15 crystal. Values from VASP.

Structure (Quantum ESPRESSO input):
```
&SYSTEM
  ibrav = 0, nat = 20, ntyp = 3
/
ATOMIC_SPECIES
La 138.91 La.upf
Sb 121.76 Sb.upf
Pd 106.42 Pd.upf
ATOMIC_POSITIONS crystal
La 0.000 0.000 0.000
Sb 0.000 0.000 0.204
Sb 0.000 0.000 0.401
Sb 0.000 0.000 0.599
Sb 0.000 0.000 0.796
Pd 0.000 0.500 0.109
Pd 0.000 0.500 0.304
Pd 0.000 0.500 0.500
Pd 0.000 0.500 0.696
Pd 0.000 0.500 0.891
Pd 0.500 0.000 0.109
Pd 0.500 0.000 0.304
Pd 0.500 0.000 0.500
Pd 0.500 0.000 0.696
Pd 0.500 0.000 0.891
Pd 0.500 0.500 0.000
Pd 0.500 0.500 0.208
Pd 0.500 0.500 0.402
Pd 0.500 0.500 0.598
Pd 0.500 0.500 0.792
CELL_PARAMETERS angstrom
4.118 0.000 0.000
0.000 4.118 0.000
0.000 0.000 20.202
```

Results
The calculation puts the total magnetization at 0.0 μB per formula unit. As for the formation energy (no corrections): -8.93 eV/f.u. As for the space group: P4/mmm.



Record 5
DFT (PBE) results for a relaxed AcSeI crystal. Values from VASP.

Structure (Quantum ESPRESSO input):
```
&SYSTEM
  ibrav = 0, nat = 3, ntyp = 3
/
ATOMIC_SPECIES
Ac 227.00 Ac.upf
Se 78.96 Se.upf
I 126.90 I.upf
ATOMIC_POSITIONS crystal
Ac 0.000 0.000 0.000
Se 0.501 0.586 0.174
I 0.499 0.354 0.714
CELL_PARAMETERS angstrom
4.009 0.000 0.000
0.000 4.012 0.000
-0.026 -1.993 7.942
```

Results
The calculation puts the total magnetization at 0.0 μB per formula unit. As for the formation energy (no corrections): -4.71 eV/f.u. For the energy above the most stable polymorph in this dataset, the calculation gives 0.73 eV per formula unit. As for the space group: P1.



Record 6
DFT (PBE) results for a relaxed Hf6SiBi3 crystal. Values from VASP.

Structure (Quantum ESPRESSO input):
```
&SYSTEM
  ibrav = 0, nat = 20, ntyp = 3
/
ATOMIC_SPECIES
Hf 178.49 Hf.upf
Si 28.09 Si.upf
Bi 208.98 Bi.upf
ATOMIC_POSITIONS crystal
Hf 0.000 0.097 0.233
Hf 0.000 0.403 0.733
Hf 0.000 0.597 0.267
Hf 0.000 0.903 0.767
Hf 0.198 0.710 0.067
Hf 0.198 0.790 0.567
Hf 0.390 0.145 0.038
Hf 0.390 0.355 0.538
Hf 0.610 0.645 0.462
Hf 0.610 0.855 0.962
Hf 0.802 0.210 0.433
Hf 0.802 0.290 0.933
Si 0.000 0.000 0.000
Si 0.000 0.500 0.500
Bi 0.308 0.124 0.727
Bi 0.308 0.376 0.227
Bi 0.500 0.000 0.500
Bi 0.500 0.500 0.000
Bi 0.692 0.624 0.773
Bi 0.692 0.876 0.273
CELL_PARAMETERS angstrom
6.624 0.000 0.000
0.000 8.133 0.000
-6.601 0.000 8.885
```

Results
The calculation puts the total magnetization at 0.0 μB per formula unit. As for the formation energy (no corrections): -0.41 eV/f.u. As for the space group: P2_1/c.



Record 7
DFT (PBE) results for a relaxed Cs2YBiCl6 crystal. Values from VASP.

Structure (Quantum ESPRESSO input):
```
&SYSTEM
  ibrav = 0, nat = 10, ntyp = 4
/
ATOMIC_SPECIES
Cs 132.91 Cs.upf
Y 88.91 Y.upf
Bi 208.98 Bi.upf
Cl 35.45 Cl.upf
ATOMIC_POSITIONS crystal
Cs 0.250 0.750 0.500
Cs 0.750 0.250 0.500
Y 0.000 0.000 0.000
Bi 0.500 0.500 0.000
Cl 0.196 0.196 0.000
Cl 0.243 0.243 0.486
Cl 0.243 0.757 0.000
Cl 0.757 0.243 0.000
Cl 0.757 0.757 0.514
Cl 0.804 0.804 0.000
CELL_PARAMETERS angstrom
-3.842 3.842 6.697
3.842 -3.842 6.697
3.842 3.842 -6.697
```

Results
The calculation puts the total magnetization at 0.0 μB per formula unit. As for the formation energy (no corrections): -16.92 eV/f.u. As for the space group: I4/mmm.



Record 8
DFT (PBE) results for a relaxed RbSrPd2 crystal. Values from VASP.

Structure (Quantum ESPRESSO input):
```
&SYSTEM
  ibrav = 0, nat = 4, ntyp = 3
/
ATOMIC_SPECIES
Rb 85.47 Rb.upf
Sr 87.62 Sr.upf
Pd 106.42 Pd.upf
ATOMIC_POSITIONS crystal
Rb 0.000 0.000 0.000
Sr 0.500 0.500 0.500
Pd 0.250 0.250 0.250
Pd 0.750 0.750 0.750
CELL_PARAMETERS angstrom
0.000 3.824 3.824
3.824 0.000 3.824
3.824 3.824 0.000
```

Results
The calculation puts the total magnetization at 0.0 μB per formula unit. For the energy above the most stable polymorph in this dataset, the calculation gives 0.00 eV per formula unit. The calculation puts the formation energy at 0.007 eV/atom. As for the space group: Fm-3m.



Record 9
DFT (PBE) results for a relaxed TbPm5Sc3 crystal. Values from VASP.

Structure (Quantum ESPRESSO input):
```
&SYSTEM
  ibrav = 0, nat = 18, ntyp = 3
/
ATOMIC_SPECIES
Tb 158.93 Tb.upf
Pm 145.00 Pm.upf
Sc 44.96 Sc.upf
ATOMIC_POSITIONS crystal
Tb 0.224 0.224 0.045
Tb 0.776 0.776 0.955
Pm 0.117 0.612 0.262
Pm 0.253 0.253 0.414
Pm 0.253 0.747 0.000
Pm 0.272 0.272 0.764
Pm 0.388 0.883 0.738
Pm 0.612 0.117 0.262
Pm 0.728 0.728 0.236
Pm 0.747 0.253 0.000
Pm 0.747 0.747 0.586
Pm 0.883 0.388 0.738
Sc 0.000 0.000 0.000
Sc 0.014 0.014 0.355
Sc 0.493 0.493 0.177
Sc 0.500 0.500 0.500
Sc 0.507 0.507 0.823
Sc 0.986 0.986 0.645
CELL_PARAMETERS angstrom
7.362 -5.683 0.000
7.362 5.683 0.000
-6.138 0.000 7.412
```

Results
The calculation puts the total magnetization at 0.0 μB per formula unit. The calculation puts the formation energy at 0.435 eV/atom. As for the space group: C2/m.



Record 10
DFT (PBE) results for a relaxed Tb2PrCd2In2 crystal. Values from VASP.

Structure (Quantum ESPRESSO input):
```
&SYSTEM
  ibrav = 0, nat = 7, ntyp = 4
/
ATOMIC_SPECIES
Tb 158.93 Tb.upf
Pr 140.91 Pr.upf
Cd 112.41 Cd.upf
In 114.82 In.upf
ATOMIC_POSITIONS crystal
Tb 0.129 0.129 0.129
Tb 0.871 0.871 0.871
Pr 0.000 0.000 0.000
Cd 0.405 0.405 0.405
Cd 0.595 0.595 0.595
In 0.258 0.258 0.258
In 0.742 0.742 0.742
CELL_PARAMETERS angstrom
2.489 1.437 9.096
-2.489 1.437 9.096
0.000 -2.875 9.096
```

Results
The calculation puts the total magnetization at 0.0 μB per formula unit. The calculation puts the formation energy at -0.281 eV/atom. As for the space group: R-3m.



Record 11
DFT (PBE) results for a relaxed RbGeSb crystal. Values from VASP.

Structure (Quantum ESPRESSO input):
```
&SYSTEM
  ibrav = 0, nat = 6, ntyp = 3
/
ATOMIC_SPECIES
Rb 85.47 Rb.upf
Ge 72.64 Ge.upf
Sb 121.76 Sb.upf
ATOMIC_POSITIONS crystal
Rb 0.000 0.000 0.000
Rb 0.756 0.256 0.500
Ge 0.402 0.591 0.810
Ge 0.781 0.591 0.190
Sb 0.385 0.160 0.775
Sb 0.385 0.610 0.225
CELL_PARAMETERS angstrom
-3.235 3.467 4.801
3.235 -3.467 4.801
3.235 3.467 -4.801
```

Results
The calculation puts the total magnetization at 0.0 μB per formula unit. As for the formation energy (no corrections): -0.72 eV/f.u. As for the space group: Imm2.